{
  "formula": "SrTe2Cl",
  "functional": "PBE-GGA",
  "state": "relaxed",
  "energy_ev_per_atom": -2.742,
  "de_polymorph_mev_per_atom": 957,
  "e_form_raw_ev_per_atom": -0.2890,
  "sg": "R-3m, No. 166",
  "crystal_system": "trigonal",
  "lattice_angstrom": [[9.842, -0.027, -0.016], [9.055, 3.855, -0.016], [9.055, 1.834, 3.391]],
  "species": ["Cl", "Sr", "Te", "Te"],
  "frac_coords": [[0.250, 0.250, 0.250], [0.750, 0.750, 0.750], [0.998, 0.998, 0.998], [0.502, 0.502, 0.502]]
}